No. 1
! GGA-PBE Rb2HoSiO4, optimized geometry; values from VASP
! ΔE_f (raw), eV per formula unit: -17.59
! Symmetry: Fddd (70)
! Total moment, μB/cell: 0.00
&SYSTEM
  ibrav = 0, nat = 16, ntyp = 4
/
ATOMIC_SPECIES
Rb 85.47 Rb.upf
Ho 164.93 Ho.upf
Si 28.09 Si.upf
O 16.00 O.upf
CELL_PARAMETERS angstrom
5.617 0.000 0.000
2.808 6.389 0.000
2.808 0.000 11.897
ATOMIC_POSITIONS crystal
Rb 0.181 0.000 0.639
Rb 0.819 0.000 0.361
Rb 0.569 0.500 0.861
Rb 0.931 0.500 0.139
Ho 0.750 0.500 0.500
Ho 0.000 0.000 0.000
Si 0.250 0.500 0.500
Si 0.500 0.000 0.000
O 0.352 0.848 0.072
O 0.272 0.152 0.928
O 0.800 0.848 0.928
O 0.576 0.152 0.072
O 0.398 0.652 0.428
O 0.478 0.348 0.572
O 0.950 0.652 0.572
O 0.174 0.348 0.428

=====

No. 2
! GGA-PBE La2AlRh2, optimized geometry; values from VASP
! Symmetry: I4/mmm (139)
! Formation enthalpy at 0 K, eV per atom: -0.598
! Total moment, μB/cell: 0.00
&SYSTEM
  ibrav = 0, nat = 5, ntyp = 3
/
ATOMIC_SPECIES
Rh 102.91 Rh.upf
Al 26.98 Al.upf
La 138.91 La.upf
CELL_PARAMETERS angstrom
-4.306 3.096 -1.957
-0.663 -3.630 -4.282
-4.956 -2.348 -0.974
ATOMIC_POSITIONS crystal
Rh 0.316 0.316 0.367
Rh 0.684 0.684 0.633
Al 0.000 0.000 0.000
La 0.750 0.250 0.500
La 0.250 0.750 0.500